Run w
CaTa3Ir | PBE | relaxed

Summary:
- mass density (g/cm3) = 10.6
- size of the total moment (μB/atom) = 0.000
- V (Å³/atom) = 24.3
- N(E_F) (states/eV per cell) = 4.02

Cell lengths 4.956, 4.956, 4.956 Å; angles 90.00, 90.00, 90.00 degrees
Atoms (fractional coordinates):
Ca 0.000 0.000 0.000
Ta 0.000 0.500 0.500
Ta 0.500 0.000 0.500
Ta 0.500 0.500 0.000
Ir 0.500 0.500 0.500

=====

Run x
CaTa3Ir | PBE | relaxed

Summary:
- mass density (g/cm3) = 13.2
- size of the total moment (μB/atom) = 0.000
- V (Å³/atom) = 19.4
- N(E_F) (states/eV per cell) = 7.98

Cell lengths 4.597, 4.597, 4.597 Å; angles 90.00, 90.00, 90.00 degrees
Atoms (fractional coordinates):
Ca 0.000 0.000 0.000
Ta 0.000 0.000 0.500
Ta 0.000 0.500 0.000
Ta 0.500 0.000 0.000
Ir 0.500 0.500 0.500

=====

Most stable of them? run w.

=====

Run w
CaTcIr2 | PBE | relaxed

Summary:
- mass density (g/cm3) = 13.1
- size of the total moment (μB/atom) = 0.000
- V (Å³/atom) = 16.5
- N(E_F) (states/eV per cell) = 3.69

Cell lengths 2.835, 4.638, 5.070 Å; angles 90.00, 97.51, 90.00 degrees
Atoms (fractional coordinates):
Ca 0.000 0.000 0.000
Tc 0.195 0.500 0.632
Ir 0.545 0.500 0.161
Ir 0.599 0.000 0.494

=====

Run x
CaTcIr2 | PBE | relaxed

Summary:
- mass density (g/cm3) = 13.0
- size of the total moment (μB/atom) = 0.000
- V (Å³/atom) = 16.7
- N(E_F) (states/eV per cell) = 3.68

Cell lengths 5.382, 5.382, 4.830 Å; angles 107.47, 107.47, 30.25 degrees
Atoms (fractional coordinates):
Ca 0.000 0.000 0.000
Tc 0.794 0.794 0.370
Ir 0.239 0.239 0.855
Ir 0.523 0.523 0.506

=====

Most stable of them? run x.

=====

Run w
CaTcIr2 | PBE | relaxed

Summary:
- mass density (g/cm3) = 12.9
- size of the total moment (μB/atom) = 0.000
- V (Å³/atom) = 16.8
- N(E_F) (states/eV per cell) = 2.41

Cell lengths 2.863, 2.863, 8.175 Å; angles 90.00, 90.00, 90.00 degrees
Atoms (fractional coordinates):
Ca 0.000 0.000 0.000
Tc 0.000 0.000 0.500
Ir 0.500 0.500 0.286
Ir 0.500 0.500 0.714

=====

Run x
CaTcIr2 | PBE | relaxed

Summary:
- mass density (g/cm3) = 13.2
- size of the total moment (μB/atom) = 0.000
- V (Å³/atom) = 16.4
- N(E_F) (states/eV per cell) = 5.04

Cell lengths 2.877, 4.711, 4.850 Å; angles 90.00, 90.00, 90.00 degrees
Atoms (fractional coordinates):
Ca 0.000 0.000 0.000
Tc 0.500 0.000 0.500
Ir 0.000 0.500 0.500
Ir 0.500 0.500 0.000

=====

Most stable of them? run w.

=====

Run w
CaTcIr2 | PBE | relaxed

Summary:
- mass density (g/cm3) = 12.3
- size of the total moment (μB/atom) = 0.000
- V (Å³/atom) = 17.6
- N(E_F) (states/eV per cell) = 4.28

Cell lengths 2.773, 3.984, 6.385 Å; angles 90.00, 90.00, 90.00 degrees
Atoms (fractional coordinates):
Ca 0.000 0.000 0.000
Tc 0.500 0.500 0.667
Ir 0.000 0.000 0.501
Ir 0.500 0.500 0.271

=====

Run x
CaTcIr2 | PBE | relaxed

Summary:
- mass density (g/cm3) = 12.7
- size of the total moment (μB/atom) = 0.000
- V (Å³/atom) = 17.1
- N(E_F) (states/eV per cell) = 3.13

Cell lengths 5.875, 5.875, 5.875 Å; angles 152.20, 133.21, 55.30 degrees
Atoms (fractional coordinates):
Ca 0.000 0.000 0.000
Tc 0.711 0.211 0.500
Ir 0.276 0.776 0.500
Ir 0.499 0.499 0.000

=====

Most stable of them? run x.

=====

Run w
CaTcIr2 | PBE | relaxed

Summary:
- mass density (g/cm3) = 13.1
- size of the total moment (μB/atom) = 0.344
- V (Å³/atom) = 16.6
- N(E_F) (states/eV per cell) = 4.59

Cell lengths 4.813, 4.813, 4.813 Å; angles 128.46, 128.46, 75.89 degrees
Atoms (fractional coordinates):
Ca 0.000 0.000 0.000
Tc 0.500 0.500 0.000
Ir 0.250 0.750 0.500
Ir 0.750 0.250 0.500

=====

Run x
CaTcIr2 | PBE | relaxed

Summary:
- mass density (g/cm3) = 13.4
- size of the total moment (μB/atom) = 0.000
- V (Å³/atom) = 16.2
- N(E_F) (states/eV per cell) = 3.75

Cell lengths 4.912, 4.912, 2.812 Å; angles 90.00, 90.00, 106.91 degrees
Atoms (fractional coordinates):
Ca 0.000 0.000 0.000
Tc 0.500 0.500 0.000
Ir 0.000 0.500 0.500
Ir 0.500 0.000 0.500

=====

Most stable of them? run x.

=====

Run w
CaTcIr2 | PBE | relaxed

Summary:
- mass density (g/cm3) = 13.1
- size of the total moment (μB/atom) = 0.000
- V (Å³/atom) = 16.5
- N(E_F) (states/eV per cell) = 4.64

Cell lengths 5.035, 5.035, 5.035 Å; angles 133.50, 133.50, 67.88 degrees
Atoms (fractional coordinates):
Ca 0.000 0.000 0.000
Tc 0.750 0.250 0.500
Ir 0.250 0.750 0.500
Ir 0.500 0.500 0.000

=====

Run x
CaTcIr2 | PBE | relaxed

Summary:
- mass density (g/cm3) = 11.3
- size of the total moment (μB/atom) = 0.000
- V (Å³/atom) = 19.2
- N(E_F) (states/eV per cell) = 9.18

Cell lengths 5.951, 5.951, 5.951 Å; angles 102.53, 102.53, 124.48 degrees
Atoms (fractional coordinates):
Ca 0.000 0.000 0.000
Ca 0.750 0.250 0.500
Tc 0.250 0.750 0.500
Tc 0.500 0.500 0.000
Ir 0.181 0.625 0.056
Ir 0.375 0.431 0.556
Ir 0.569 0.125 0.944
Ir 0.875 0.819 0.444

=====

Most stable of them? run w.

=====

Run w
CaTcIr2 | PBE | relaxed

Summary:
- mass density (g/cm3) = 12.8
- size of the total moment (μB/atom) = 0.722
- V (Å³/atom) = 17.0
- N(E_F) (states/eV per cell) = 3.74

Cell lengths 4.578, 4.578, 4.578 Å; angles 60.00, 60.00, 60.00 degrees
Atoms (fractional coordinates):
Ca 0.000 0.000 0.000
Tc 0.500 0.500 0.500
Ir 0.250 0.250 0.250
Ir 0.750 0.750 0.750

=====

Run x
CaTcIr2 | PBE | relaxed

Summary:
- mass density (g/cm3) = 12.7
- size of the total moment (μB/atom) = 0.000
- V (Å³/atom) = 17.1
- N(E_F) (states/eV per cell) = 4.74

Cell lengths 4.846, 4.846, 5.383 Å; angles 97.56, 97.56, 33.18 degrees
Atoms (fractional coordinates):
Ca 0.000 0.000 0.000
Tc 0.500 0.500 0.500
Ir 0.242 0.242 0.703
Ir 0.758 0.758 0.297

=====

Run y
CaTcIr2 | PBE | relaxed

Summary:
- mass density (g/cm3) = 13.1
- size of the total moment (μB/atom) = 0.081
- V (Å³/atom) = 16.6
- N(E_F) (states/eV per cell) = 6.53

Cell lengths 9.616, 9.616, 9.616 Å; angles 17.02, 17.02, 17.02 degrees
Atoms (fractional coordinates):
Ca 0.000 0.000 0.000
Tc 0.761 0.761 0.761
Ir 0.248 0.248 0.248
Ir 0.500 0.500 0.500

=====

Run z
CaTcIr2 | PBE | relaxed

Summary:
- mass density (g/cm3) = 12.9
- size of the total moment (μB/atom) = 0.463
- V (Å³/atom) = 16.8
- N(E_F) (states/eV per cell) = 4.82

Cell lengths 4.212, 4.212, 3.777 Å; angles 90.00, 90.00, 90.00 degrees
Atoms (fractional coordinates):
Ca 0.000 0.000 0.000
Tc 0.500 0.500 0.000
Ir 0.000 0.500 0.500
Ir 0.500 0.000 0.500

=====

Most stable of them? run x.

=====

Run w
CaTcIr | PBE | relaxed

Summary:
- mass density (g/cm3) = 9.9
- size of the total moment (μB/atom) = 0.000
- V (Å³/atom) = 18.4
- N(E_F) (states/eV per cell) = 5.82

Cell lengths 5.406, 5.406, 5.406 Å; angles 123.74, 116.86, 89.58 degrees
Atoms (fractional coordinates):
Ca 0.000 0.000 0.000
Ca 0.751 0.251 0.500
Tc 0.375 0.140 0.765
Tc 0.375 0.611 0.235
Ir 0.381 0.634 0.747
Ir 0.886 0.634 0.253

=====

Run x
CaTcIr | PBE | relaxed

Summary:
- mass density (g/cm3) = 8.9
- size of the total moment (μB/atom) = 0.000
- V (Å³/atom) = 20.5
- N(E_F) (states/eV per cell) = 6.11

Cell lengths 5.751, 5.751, 5.215 Å; angles 90.72, 90.72, 45.55 degrees
Atoms (fractional coordinates):
Ca 0.000 0.000 0.000
Ca 0.545 0.545 0.499
Tc 0.275 0.275 0.763
Tc 0.810 0.810 0.493
Ir 0.268 0.268 0.264
Ir 0.730 0.730 0.991

=====

Most stable of them? run w.

=====

Run w
CaTcIr | PBE | relaxed

Summary:
- mass density (g/cm3) = 9.4
- size of the total moment (μB/atom) = 0.000
- V (Å³/atom) = 19.5
- N(E_F) (states/eV per cell) = 4.15

Cell lengths 5.479, 5.479, 7.278 Å; angles 128.78, 128.78, 47.21 degrees
Atoms (fractional coordinates):
Ca 0.073 0.073 0.330
Ca 0.927 0.927 0.670
Tc 0.351 0.351 0.939
Tc 0.649 0.649 0.061
Ir 0.332 0.332 0.261
Ir 0.668 0.668 0.739

=====

Run x
CaTcIr | PBE | relaxed

Summary:
- mass density (g/cm3) = 8.9
- size of the total moment (μB/atom) = 0.000
- V (Å³/atom) = 20.6
- N(E_F) (states/eV per cell) = 5.42

Cell lengths 5.792, 5.792, 5.202 Å; angles 90.00, 90.00, 134.83 degrees
Atoms (fractional coordinates):
Ca 0.232 0.768 0.500
Ca 0.768 0.232 0.000
Tc 0.035 0.965 0.010
Tc 0.965 0.035 0.510
Ir 0.482 0.518 0.785
Ir 0.518 0.482 0.285

=====

Most stable of them? run w.

=====

Run w
CaTcIr | PBE | relaxed

Summary:
- mass density (g/cm3) = 8.6
- size of the total moment (μB/atom) = 0.000
- V (Å³/atom) = 21.2
- N(E_F) (states/eV per cell) = 3.88

Cell lengths 5.435, 4.054, 5.885 Å; angles 90.00, 101.64, 90.00 degrees
Atoms (fractional coordinates):
Ca 0.248 0.250 0.440
Ca 0.752 0.750 0.560
Tc 0.101 0.250 0.924
Tc 0.899 0.750 0.076
Ir 0.388 0.750 0.073
Ir 0.612 0.250 0.927

=====

Run x
CaTcIr | PBE | relaxed

Summary:
- mass density (g/cm3) = 5.4
- size of the total moment (μB/atom) = 0.640
- V (Å³/atom) = 33.6
- N(E_F) (states/eV per cell) = 10.06

Cell lengths 5.045, 5.045, 9.156 Å; angles 90.00, 90.00, 120.00 degrees
Atoms (fractional coordinates):
Ca 0.333 0.667 0.250
Ca 0.667 0.333 0.750
Tc 0.000 0.000 0.250
Tc 0.000 0.000 0.750
Ir 0.000 0.000 0.000
Ir 0.000 0.000 0.500

=====

Most stable of them? run w.

=====

Run w
CaTcIr | PBE | relaxed

Summary:
- mass density (g/cm3) = 9.2
- size of the total moment (μB/atom) = 0.000
- V (Å³/atom) = 19.9
- N(E_F) (states/eV per cell) = 4.70

Cell lengths 5.048, 5.141, 5.402 Å; angles 98.74, 117.55, 97.42 degrees
Atoms (fractional coordinates):
Ca 0.000 0.000 0.000
Ca 0.413 0.209 0.721
Tc 0.434 0.606 0.298
Tc 0.980 0.583 0.350
Ir 0.703 0.069 0.349
Ir 0.998 0.484 0.793

=====

Run x
CaTcIr | PBE | relaxed

Summary:
- mass density (g/cm3) = 8.6
- size of the total moment (μB/atom) = 0.000
- V (Å³/atom) = 21.3
- N(E_F) (states/eV per cell) = 4.46

Cell lengths 6.314, 6.314, 6.314 Å; angles 138.61, 128.50, 68.12 degrees
Atoms (fractional coordinates):
Ca 0.373 0.123 0.250
Ca 0.627 0.877 0.750
Tc 0.055 0.305 0.750
Tc 0.945 0.695 0.250
Ir 0.000 0.500 0.500
Ir 0.500 0.500 0.000

=====

Run y
CaTcIr | PBE | relaxed

Summary:
- mass density (g/cm3) = 8.9
- size of the total moment (μB/atom) = 0.000
- V (Å³/atom) = 20.6
- N(E_F) (states/eV per cell) = 4.70

Cell lengths 4.438, 4.438, 4.438 Å; angles 60.00, 60.00, 60.00 degrees
Atoms (fractional coordinates):
Ca 0.000 0.000 0.000
Tc 0.500 0.500 0.500
Ir 0.250 0.250 0.250

=====

Run z
CaTcIr | PBE | relaxed

Summary:
- mass density (g/cm3) = 9.3
- size of the total moment (μB/atom) = 0.000
- V (Å³/atom) = 19.6
- N(E_F) (states/eV per cell) = 6.95

Cell lengths 7.303, 4.410, 7.297 Å; angles 90.00, 90.00, 90.00 degrees
Atoms (fractional coordinates):
Ca 0.002 0.250 0.176
Ca 0.498 0.750 0.676
Ca 0.502 0.250 0.324
Ca 0.998 0.750 0.824
Tc 0.160 0.250 0.588
Tc 0.340 0.750 0.088
Tc 0.660 0.250 0.912
Tc 0.840 0.750 0.412
Ir 0.177 0.750 0.406
Ir 0.323 0.250 0.906
Ir 0.677 0.750 0.094
Ir 0.823 0.250 0.594

=====

Most stable of them? run z.